No. 1
A relaxed CsLaAgPd2 crystal. Source: the Alexandria database, functional PBE.

Cell lengths 5.2701, 5.2701, 7.7006 Å; angles 90.00, 90.00, 90.00 degrees
With the nearest neighbours (Å) after each atom.
Atoms (fractional coordinates):
Cs1 0.0000 0.0000 0.0000  4 Ag 3.73, 2 La 3.85
La1 0.0000 0.0000 0.5000  4 Pd 2.64
Ag1 0.5000 0.5000 0.0000  4 Cs 3.73
Pd1 0.0000 0.5000 0.5000  2 La 2.64
Pd2 0.5000 0.0000 0.5000  2 La 2.64

Output
E_form ... 595 meV/atom
Magnetic moment ... 0.00 μB per cell
Crystal system ... tetragonal
Raw total energy ... -3.2088 eV/atom

No. 2
A relaxed Cs2LaAgRu crystal. Source: the Alexandria database, functional PBE.

Cell lengths 5.5566, 5.5566, 5.6313 Å; angles 90.00, 90.00, 90.00 degrees
With the nearest neighbours (Å) after each atom.
Atoms (fractional coordinates):
Cs1 0.0000 0.5000 0.0000  2 Ru 2.78
Cs2 0.5000 0.0000 0.0000  2 Ru 2.78
La1 0.0000 0.0000 0.5000  4 Ag 3.93, 8 Cs 3.96
Ag1 0.5000 0.5000 0.5000  2 Ru 2.82
Ru1 0.5000 0.5000 0.0000  4 Cs 2.78, 2 Ag 2.82

Output
E_form ... 1178 meV/atom
Magnetic moment ... 1.45 μB per cell
Crystal system ... tetragonal
Raw total energy ... -2.5741 eV/atom

No. 3
A relaxed CsLa2AgS4 crystal. Source: the Alexandria database, functional PBE.

Cell lengths 7.5997, 7.5997, 14.6922 Å; angles 90.00, 90.00, 147.13 degrees
With the nearest neighbours (Å) after each atom.
Atoms (fractional coordinates):
Cs1 0.1101 0.8899 0.7500  6 S 3.42-3.63
Cs2 0.8899 0.1101 0.2500  6 S 3.42-3.63
La1 0.3675 0.6325 0.5620  6 S 2.87-3.03
La2 0.3675 0.6325 0.9380  6 S 2.87-3.03
La3 0.6325 0.3675 0.0620  6 S 2.87-3.03
La4 0.6325 0.3675 0.4380  6 S 2.87-3.03
Ag1 0.1654 0.8346 0.2500  4 S 2.55-2.56
Ag2 0.8346 0.1654 0.7500  4 S 2.55-2.56
S1 0.0000 0.0000 0.0000  4 La 3.03
S2 0.0000 0.0000 0.5000  4 La 3.03
S3 0.2570 0.7430 0.1013  1 Ag 2.56
S4 0.2570 0.7430 0.3987  1 Ag 2.56
S5 0.4281 0.5719 0.7500  2 Ag 2.55
S6 0.5719 0.4281 0.2500  2 Ag 2.55
S7 0.7430 0.2570 0.6013  1 Ag 2.56
S8 0.7430 0.2570 0.8987  1 Ag 2.56

Output
Magnetic moment ... 0.00 μB per cell
Energy relative to the elements, uncorrected ... -1291 kJ/mol of formula units
Crystal system ... orthorhombic
Raw total energy ... -5.4313 eV/atom

No. 4
A relaxed CsLa2AgSe4 crystal. Source: the Alexandria database, functional PBE.

Cell lengths 7.8791, 7.8791, 15.2713 Å; angles 90.00, 90.00, 147.22 degrees
With the nearest neighbours (Å) after each atom.
Atoms (fractional coordinates):
Cs1 0.1135 0.8865 0.7500  6 Se 3.52-3.70
Cs2 0.8865 0.1135 0.2500  6 Se 3.52-3.70
La1 0.3678 0.6322 0.5633  6 Se 3.00-3.14
La2 0.3678 0.6322 0.9367  6 Se 3.00-3.14
La3 0.6322 0.3678 0.0633  6 Se 3.00-3.14
La4 0.6322 0.3678 0.4367  6 Se 3.00-3.14
Ag1 0.1626 0.8374 0.2500  4 Se 2.65-2.68
Ag2 0.8374 0.1626 0.7500  4 Se 2.65-2.68
Se1 0.0000 0.0000 0.0000  4 La 3.14
Se2 0.0000 0.0000 0.5000  4 La 3.14
Se3 0.2591 0.7409 0.1030  1 Ag 2.68
Se4 0.2591 0.7409 0.3970  1 Ag 2.68
Se5 0.4331 0.5669 0.7500  2 Ag 2.65
Se6 0.5669 0.4331 0.2500  2 Ag 2.65
Se7 0.7409 0.2591 0.6030  1 Ag 2.68
Se8 0.7409 0.2591 0.8970  1 Ag 2.68

Output
Magnetic moment ... 0.00 μB per cell
Energy relative to the elements, uncorrected ... -1227 kJ/mol of formula units
Crystal system ... orthorhombic
Raw total energy ... -5.0271 eV/atom

No. 5
A relaxed CsLaAgSe3 crystal. Source: the Alexandria database, functional PBE.

Cell lengths 8.1758, 8.1758, 11.6119 Å; angles 90.00, 90.00, 148.37 degrees
With the nearest neighbours (Å) after each atom.
Atoms (fractional coordinates):
Cs1 0.2426 0.7574 0.7500  8 Se 3.73-3.98, 2 Ag 4.05
Cs2 0.7574 0.2426 0.2500  8 Se 3.73-3.98, 2 Ag 4.05
La1 0.5000 0.5000 0.0000  6 Se 3.02
La2 0.5000 0.5000 0.5000  6 Se 3.02
Ag1 0.0423 0.9577 0.2500  4 Se 2.63-2.68
Ag2 0.9577 0.0423 0.7500  4 Se 2.63-2.68
Se1 0.1237 0.8763 0.0524  1 Ag 2.63
Se2 0.1237 0.8763 0.4476  1 Ag 2.63
Se3 0.4476 0.5524 0.2500  2 Ag 2.68
Se4 0.5524 0.4476 0.7500  2 Ag 2.68
Se5 0.8763 0.1237 0.5524  1 Ag 2.63
Se6 0.8763 0.1237 0.9476  1 Ag 2.63

Output
Magnetic moment ... 0.00 μB per cell
Energy relative to the elements, uncorrected ... -682 kJ/mol of formula units
Crystal system ... orthorhombic
Raw total energy ... -4.3584 eV/atom

No. 6
A relaxed CsSrLa2Ag crystal. Source: the Alexandria database, functional PBE.

Cell lengths 6.0202, 6.0202, 5.8441 Å; angles 90.00, 90.00, 90.00 degrees
With the nearest neighbours (Å) after each atom.
Atoms (fractional coordinates):
Cs1 0.0000 0.0000 0.0000  2 Ag 2.92, 4 La 3.01
Sr1 0.5000 0.5000 0.5000  8 La 4.20, 4 Ag 4.26
La1 0.0000 0.5000 0.0000  2 Cs 3.01
La2 0.5000 0.0000 0.0000  2 Cs 3.01
Ag1 0.0000 0.0000 0.5000  2 Cs 2.92

Output
E_form ... 847 meV/atom
Magnetic moment ... 0.00 μB per cell
Crystal system ... tetragonal
Raw total energy ... -2.2018 eV/atom

No. 7
A relaxed CsLaTc2Ag crystal. Source: the Alexandria database, functional PBE.

Cell lengths 5.2764, 5.2764, 5.5724 Å; angles 90.00, 90.00, 90.00 degrees
With the nearest neighbours (Å) after each atom.
Atoms (fractional coordinates):
Cs1 0.0000 0.0000 0.0000  4 La 3.73, 8 Tc 3.84
La1 0.5000 0.5000 0.0000  2 Ag 2.79
Tc1 0.0000 0.5000 0.5000  2 Ag 2.64
Tc2 0.5000 0.0000 0.5000  2 Ag 2.64
Ag1 0.5000 0.5000 0.5000  4 Tc 2.64, 2 La 2.79

Output
E_form ... 1566 meV/atom
Magnetic moment ... 5.02 μB per cell
Crystal system ... tetragonal
Raw total energy ... -4.3070 eV/atom

No. 8
A relaxed CsLa2AgTe4 crystal. Source: the Alexandria database, functional PBE.

Cell lengths 8.3728, 8.3728, 16.2296 Å; angles 90.00, 90.00, 147.44 degrees
With the nearest neighbours (Å) after each atom.
Atoms (fractional coordinates):
Cs1 0.1157 0.8843 0.7500  6 Te 3.72-3.85
Cs2 0.8843 0.1157 0.2500  6 Te 3.72-3.85
La1 0.3678 0.6322 0.5644  6 Te 3.21-3.33
La2 0.3678 0.6322 0.9356  6 Te 3.21-3.33
La3 0.6322 0.3678 0.0644  6 Te 3.21-3.33
La4 0.6322 0.3678 0.4356  6 Te 3.21-3.33
Ag1 0.1607 0.8393 0.2500  4 Te 2.82-2.84
Ag2 0.8393 0.1607 0.7500  4 Te 2.82-2.84
Te1 0.0000 0.0000 0.0000  4 La 3.33
Te2 0.0000 0.0000 0.5000  4 La 3.33
Te3 0.2617 0.7383 0.1062  1 Ag 2.84
Te4 0.2617 0.7383 0.3938  1 Ag 2.84
Te5 0.4360 0.5640 0.7500  2 Ag 2.82
Te6 0.5640 0.4360 0.2500  2 Ag 2.82
Te7 0.7383 0.2617 0.6062  1 Ag 2.84
Te8 0.7383 0.2617 0.8938  1 Ag 2.84

Output
Magnetic moment ... 0.00 μB per cell
Energy relative to the elements, uncorrected ... -993 kJ/mol of formula units
Crystal system ... orthorhombic
Raw total energy ... -4.5525 eV/atom

No. 9
A relaxed CsLi3Ag crystal. Source: the Alexandria database, functional PBE.

Cell lengths 5.3221, 5.3221, 5.3221 Å; angles 90.00, 90.00, 90.00 degrees
With the nearest neighbours (Å) after each atom.
Atoms (fractional coordinates):
Cs1 0.0000 0.0000 0.0000  6 Li 2.66
Li1 0.0000 0.0000 0.5000  2 Cs 2.66
Li2 0.0000 0.5000 0.0000  2 Cs 2.66
Li3 0.5000 0.0000 0.0000  2 Cs 2.66
Ag1 0.5000 0.5000 0.5000  12 Li 3.76

Output
E_form ... 959 meV/atom
Magnetic moment ... 0.00 μB per cell
Crystal system ... cubic
Raw total energy ... -0.9305 eV/atom

No. 10
A relaxed Cs2LiAg2 crystal. Source: the Alexandria database, functional PBE.

Cell lengths 8.5303, 8.5303, 8.5303 Å; angles 140.69, 140.69, 56.81 degrees
With the nearest neighbours (Å) after each atom.
Atoms (fractional coordinates):
Cs1 0.2500 0.7500 0.5000  4 Ag 3.72, 4 Cs 4.06
Cs2 0.7500 0.2500 0.5000  4 Ag 3.72, 4 Cs 4.06
Li1 0.0000 0.0000 0.0000  8 Ag 4.29, 8 Cs 4.72
Ag1 0.4077 0.4077 0.0000  1 Ag 2.77
Ag2 0.5923 0.5923 0.0000  1 Ag 2.77

Output
E_form ... 379 meV/atom
Magnetic moment ... 0.00 μB per cell
Crystal system ... tetragonal
Raw total energy ... -1.4859 eV/atom

No. 11
A relaxed CsLi2Ag2 crystal. Source: the Alexandria database, functional PBE.

Cell lengths 8.6982, 8.6982, 3.3493 Å; angles 90.00, 90.00, 90.00 degrees
With the nearest neighbours (Å) after each atom.
Atoms (fractional coordinates):
Cs1 0.0000 0.0000 0.0000  2 Cs 3.35, 4 Li 3.47, 8 Ag 3.70
Cs2 0.5000 0.5000 0.0000  2 Cs 3.35, 4 Li 3.47, 8 Ag 3.70
Li1 0.1187 0.3813 0.0000  4 Ag 2.91, 1 Li 2.92
Li2 0.3813 0.8813 0.0000  4 Ag 2.91, 1 Li 2.92
Li3 0.6187 0.1187 0.0000  4 Ag 2.91, 1 Li 2.92
Li4 0.8813 0.6187 0.0000  4 Ag 2.91, 1 Li 2.92
Ag1 0.1527 0.6527 0.5000  4 Li 2.91
Ag2 0.3473 0.1527 0.5000  4 Li 2.91
Ag3 0.6527 0.8473 0.5000  4 Li 2.91
Ag4 0.8473 0.3473 0.5000  4 Li 2.91

Output
E_form ... 51 meV/atom
Magnetic moment ... 0.00 μB per cell
Crystal system ... tetragonal
Raw total energy ... -2.0255 eV/atom

No. 12
A relaxed Cs2LiAg2 crystal. Source: the Alexandria database, functional PBE.

Cell lengths 8.2829, 8.2829, 5.7731 Å; angles 90.00, 90.00, 90.00 degrees
With the nearest neighbours (Å) after each atom.
Atoms (fractional coordinates):
Cs1 0.1747 0.3253 0.0000  6 Ag 3.73-3.82, 1 Cs 4.09
Cs2 0.3253 0.8253 0.0000  6 Ag 3.73-3.82, 1 Cs 4.09
Cs3 0.6747 0.1747 0.0000  6 Ag 3.73-3.82, 1 Cs 4.09
Cs4 0.8253 0.6747 0.0000  6 Ag 3.73-3.82, 1 Cs 4.09
Li1 0.0000 0.0000 0.5000  4 Ag 3.28
Li2 0.5000 0.5000 0.5000  4 Ag 3.28
Ag1 0.1238 0.6238 0.5000  1 Ag 2.90
Ag2 0.3762 0.1238 0.5000  1 Ag 2.90
Ag3 0.6238 0.8762 0.5000  1 Ag 2.90
Ag4 0.8762 0.3762 0.5000  1 Ag 2.90

Output
E_form ... 139 meV/atom
Magnetic moment ... 0.00 μB per cell
Crystal system ... tetragonal
Raw total energy ... -1.7258 eV/atom